# 1
{"formula": "AcPmSnI", "functional": "PBE", "state": "optimized geometry", "lattice": [[8.0417, 0.0000, 0.0000], [0.0000, 8.0417, 0.0000], [0.0000, 0.0000, 8.0417]], "species": ["Ac", "Ac", "Ac", "Ac", "Pm", "Pm", "Pm", "Pm", "Sn", "Sn", "Sn", "Sn", "I", "I", "I", "I"], "fractional_positions": [[0.0000, 0.0000, 0.0000], [0.0000, 0.5000, 0.5000], [0.5000, 0.0000, 0.5000], [0.5000, 0.5000, 0.0000], [0.0000, 0.0000, 0.5000], [0.0000, 0.5000, 0.0000], [0.5000, 0.0000, 0.0000], [0.5000, 0.5000, 0.5000], [0.2500, 0.2500, 0.7500], [0.2500, 0.7500, 0.2500], [0.7500, 0.2500, 0.2500], [0.7500, 0.7500, 0.7500], [0.2500, 0.2500, 0.2500], [0.2500, 0.7500, 0.7500], [0.7500, 0.2500, 0.7500], [0.7500, 0.7500, 0.2500]], "final_energy_ev_per_atom": -4.37, "formation_energy_uncorrected_kj_per_mol_fu": -295}

=====

# 2
{"formula": "AcPmTlI", "functional": "PBE", "state": "optimized geometry", "lattice": [[8.0889, 0.0000, 0.0000], [0.0000, 8.0889, 0.0000], [0.0000, 0.0000, 8.0889]], "species": ["Ac", "Ac", "Ac", "Ac", "Pm", "Pm", "Pm", "Pm", "Tl", "Tl", "Tl", "Tl", "I", "I", "I", "I"], "fractional_positions": [[0.0000, 0.0000, 0.0000], [0.0000, 0.5000, 0.5000], [0.5000, 0.0000, 0.5000], [0.5000, 0.5000, 0.0000], [0.0000, 0.0000, 0.5000], [0.0000, 0.5000, 0.0000], [0.5000, 0.0000, 0.0000], [0.5000, 0.5000, 0.5000], [0.2500, 0.2500, 0.7500], [0.2500, 0.7500, 0.2500], [0.7500, 0.2500, 0.2500], [0.7500, 0.7500, 0.7500], [0.2500, 0.2500, 0.2500], [0.2500, 0.7500, 0.7500], [0.7500, 0.2500, 0.7500], [0.7500, 0.7500, 0.2500]], "final_energy_ev_per_atom": -3.71, "formation_energy_uncorrected_kj_per_mol_fu": -200}

=====

# 3
{"formula": "AcPrI", "functional": "PBE", "state": "optimized geometry", "lattice": [[3.9038, 0.0000, 0.0000], [0.0000, 3.9038, 0.0000], [0.0000, 0.0000, 15.0675]], "species": ["Ac", "Ac", "Pr", "Pr", "I", "I"], "fractional_positions": [[0.0000, 0.0000, 0.0000], [0.5000, 0.5000, 0.5000], [0.0000, 0.0000, 0.6794], [0.5000, 0.5000, 0.1794], [0.0000, 0.0000, 0.3266], [0.5000, 0.5000, 0.8266]], "final_energy_ev_per_atom": -3.99, "formation_energy_uncorrected_kj_per_mol_fu": -146}

=====

# 4
{"formula": "AcPrI4", "functional": "PBE", "state": "optimized geometry", "lattice": [[4.3831, -9.5570, 0.0000], [4.3831, 9.5570, 0.0000], [-4.3535, 0.0000, 6.4728]], "species": ["Ac", "Ac", "Pr", "Pr", "I", "I", "I", "I", "I", "I", "I", "I"], "fractional_positions": [[0.0583, 0.9417, 0.7500], [0.9417, 0.0583, 0.2500], [0.4483, 0.5517, 0.2500], [0.5517, 0.4483, 0.7500], [0.0840, 0.4391, 0.2522], [0.1804, 0.3350, 0.7594], [0.3350, 0.1804, 0.2594], [0.4391, 0.0840, 0.7522], [0.5609, 0.9160, 0.2478], [0.6650, 0.8196, 0.7406], [0.8196, 0.6650, 0.2406], [0.9160, 0.5609, 0.7478]], "final_energy_ev_per_atom": -3.77, "formation_energy_uncorrected_kj_per_mol_fu": -728}

=====

# 5
{"formula": "AcPrI", "functional": "PBE", "state": "optimized geometry", "lattice": [[4.0646, 0.0000, 0.0000], [-2.0323, 3.5200, 0.0000], [0.0000, 0.0000, 8.3037]], "species": ["Ac", "Pr", "I"], "fractional_positions": [[0.0000, 0.0000, 0.0000], [0.6667, 0.3333, 0.3616], [0.3333, 0.6667, 0.6575]], "final_energy_ev_per_atom": -4.05, "formation_energy_uncorrected_kj_per_mol_fu": -165}

=====

# 6
{"formula": "AcPrPtI", "functional": "PBE", "state": "optimized geometry", "lattice": [[4.3916, 0.0000, 0.0000], [-2.1958, 3.8032, 0.0000], [0.0000, 0.0000, 25.3754]], "species": ["Ac", "Ac", "Ac", "Pr", "Pr", "Pr", "Pt", "Pt", "Pt", "I", "I", "I"], "fractional_positions": [[0.0000, 0.0000, 0.0000], [0.3333, 0.6667, 0.6667], [0.6667, 0.3333, 0.3333], [0.0000, 0.0000, 0.7896], [0.3333, 0.6667, 0.4562], [0.6667, 0.3333, 0.1229], [0.0000, 0.0000, 0.3976], [0.3333, 0.6667, 0.0643], [0.6667, 0.3333, 0.7310], [0.0000, 0.0000, 0.5596], [0.3333, 0.6667, 0.2262], [0.6667, 0.3333, 0.8929]], "final_energy_ev_per_atom": -5.27, "formation_energy_uncorrected_kj_per_mol_fu": -444}

=====

# 7
{"formula": "Ac2PrRh2I2", "functional": "PBE", "state": "optimized geometry", "lattice": [[5.2773, 0.0000, 0.0000], [0.0000, 5.2773, 0.0000], [0.0000, 0.0000, 17.5882]], "species": ["Ac", "Ac", "Ac", "Ac", "Pr", "Pr", "Rh", "Rh", "Rh", "Rh", "I", "I", "I", "I"], "fractional_positions": [[0.0000, 0.0000, 0.1071], [0.0000, 0.0000, 0.8929], [0.5000, 0.5000, 0.3929], [0.5000, 0.5000, 0.6071], [0.0000, 0.0000, 0.5000], [0.5000, 0.5000, 0.0000], [0.0000, 0.5000, 0.0000], [0.0000, 0.5000, 0.5000], [0.5000, 0.0000, 0.0000], [0.5000, 0.0000, 0.5000], [0.0000, 0.0000, 0.3073], [0.0000, 0.0000, 0.6927], [0.5000, 0.5000, 0.1927], [0.5000, 0.5000, 0.8073]], "final_energy_ev_per_atom": -5.18, "formation_energy_uncorrected_kj_per_mol_fu": -524}

=====

# 8
{"formula": "AcPrRuI", "functional": "PBE", "state": "optimized geometry", "lattice": [[7.3701, 0.0000, 0.0000], [0.0000, 4.2468, 0.0000], [-2.4646, 0.0000, 8.4867]], "species": ["Ac", "Ac", "Pr", "Pr", "Ru", "Ru", "I", "I"], "fractional_positions": [[0.0000, 0.0000, 0.0000], [0.5000, 0.5000, 0.0000], [0.2111, 0.0000, 0.6307], [0.7111, 0.5000, 0.6307], [0.1039, 0.5000, 0.8098], [0.6039, 0.0000, 0.8098], [0.2778, 0.5000, 0.3315], [0.7778, 0.0000, 0.3315]], "final_energy_ev_per_atom": -5.56, "formation_energy_uncorrected_kj_per_mol_fu": -243}

=====

# 9
{"formula": "AcPrSbI", "functional": "PBE", "state": "optimized geometry", "lattice": [[8.0277, 0.0000, 0.0000], [0.0000, 8.0277, 0.0000], [0.0000, 0.0000, 8.0277]], "species": ["Ac", "Ac", "Ac", "Ac", "Pr", "Pr", "Pr", "Pr", "Sb", "Sb", "Sb", "Sb", "I", "I", "I", "I"], "fractional_positions": [[0.0000, 0.0000, 0.0000], [0.0000, 0.5000, 0.5000], [0.5000, 0.0000, 0.5000], [0.5000, 0.5000, 0.0000], [0.0000, 0.0000, 0.5000], [0.0000, 0.5000, 0.0000], [0.5000, 0.0000, 0.0000], [0.5000, 0.5000, 0.5000], [0.2500, 0.2500, 0.7500], [0.2500, 0.7500, 0.2500], [0.7500, 0.2500, 0.2500], [0.7500, 0.7500, 0.7500], [0.2500, 0.2500, 0.2500], [0.2500, 0.7500, 0.7500], [0.7500, 0.2500, 0.7500], [0.7500, 0.7500, 0.2500]], "final_energy_ev_per_atom": -4.65, "formation_energy_uncorrected_kj_per_mol_fu": -391}

=====

# 10
{"formula": "AcPrSiI", "functional": "PBE", "state": "optimized geometry", "lattice": [[4.4194, 0.0000, 0.0000], [-2.2097, 3.8273, 0.0000], [0.0000, 0.0000, 24.5434]], "species": ["Ac", "Ac", "Ac", "Pr", "Pr", "Pr", "Si", "Si", "Si", "I", "I", "I"], "fractional_positions": [[0.0000, 0.0000, 0.0000], [0.3333, 0.6667, 0.6667], [0.6667, 0.3333, 0.3333], [0.0000, 0.0000, 0.7986], [0.3333, 0.6667, 0.4653], [0.6667, 0.3333, 0.1319], [0.0000, 0.0000, 0.4042], [0.3333, 0.6667, 0.0709], [0.6667, 0.3333, 0.7375], [0.0000, 0.0000, 0.2271], [0.3333, 0.6667, 0.8938], [0.6667, 0.3333, 0.5604]], "final_energy_ev_per_atom": -4.89, "formation_energy_uncorrected_kj_per_mol_fu": -355}

=====

# 11
{"formula": "AcPrSnI", "functional": "PBE", "state": "optimized geometry", "lattice": [[8.0856, 0.0000, 0.0000], [0.0000, 8.0856, 0.0000], [0.0000, 0.0000, 8.0856]], "species": ["Ac", "Ac", "Ac", "Ac", "Pr", "Pr", "Pr", "Pr", "Sn", "Sn", "Sn", "Sn", "I", "I", "I", "I"], "fractional_positions": [[0.0000, 0.0000, 0.0000], [0.0000, 0.5000, 0.5000], [0.5000, 0.0000, 0.5000], [0.5000, 0.5000, 0.0000], [0.0000, 0.0000, 0.5000], [0.0000, 0.5000, 0.0000], [0.5000, 0.0000, 0.0000], [0.5000, 0.5000, 0.5000], [0.2500, 0.2500, 0.7500], [0.2500, 0.7500, 0.2500], [0.7500, 0.2500, 0.2500], [0.7500, 0.7500, 0.7500], [0.2500, 0.2500, 0.2500], [0.2500, 0.7500, 0.7500], [0.7500, 0.2500, 0.7500], [0.7500, 0.7500, 0.2500]], "final_energy_ev_per_atom": -4.40, "formation_energy_uncorrected_kj_per_mol_fu": -304}

=====

# 12
{"formula": "AcPrTe2I", "functional": "PBE", "state": "optimized geometry", "lattice": [[4.7746, 0.0000, 0.0000], [0.0000, 4.7746, 0.0000], [0.0000, 0.0000, 15.6067]], "species": ["Ac", "Ac", "Pr", "Pr", "Te", "Te", "Te", "Te", "I", "I"], "fractional_positions": [[0.2500, 0.2500, 0.0929], [0.7500, 0.7500, 0.9071], [0.2500, 0.2500, 0.6492], [0.7500, 0.7500, 0.3508], [0.2500, 0.2500, 0.3033], [0.2500, 0.2500, 0.8728], [0.7500, 0.7500, 0.1272], [0.7500, 0.7500, 0.6967], [0.2500, 0.7500, 0.5000], [0.7500, 0.2500, 0.5000]], "final_energy_ev_per_atom": -4.64, "formation_energy_uncorrected_kj_per_mol_fu": -626}

=====

# 13
{"formula": "AcPrTeI", "functional": "PBE", "state": "optimized geometry", "lattice": [[7.9948, 0.0000, 0.0000], [0.0000, 7.9948, 0.0000], [0.0000, 0.0000, 7.9948]], "species": ["Ac", "Ac", "Ac", "Ac", "Pr", "Pr", "Pr", "Pr", "Te", "Te", "Te", "Te", "I", "I", "I", "I"], "fractional_positions": [[0.0000, 0.0000, 0.0000], [0.0000, 0.5000, 0.5000], [0.5000, 0.0000, 0.5000], [0.5000, 0.5000, 0.0000], [0.0000, 0.0000, 0.5000], [0.0000, 0.5000, 0.0000], [0.5000, 0.0000, 0.0000], [0.5000, 0.5000, 0.5000], [0.2500, 0.2500, 0.2500], [0.2500, 0.7500, 0.7500], [0.7500, 0.2500, 0.7500], [0.7500, 0.7500, 0.2500], [0.2500, 0.2500, 0.7500], [0.2500, 0.7500, 0.2500], [0.7500, 0.2500, 0.2500], [0.7500, 0.7500, 0.7500]], "final_energy_ev_per_atom": -4.53, "formation_energy_uncorrected_kj_per_mol_fu": -439}

=====

# 14
{"formula": "Ac2PtI4", "functional": "PBE", "state": "optimized geometry", "lattice": [[13.8208, 0.0000, 0.0000], [0.0000, 13.8208, 0.0000], [0.0000, 0.0000, 4.2591]], "species": ["Ac", "Ac", "Ac", "Ac", "Pt", "Pt", "I", "I", "I", "I", "I", "I", "I", "I"], "fractional_positions": [[0.1123, 0.1123, 0.0000], [0.3877, 0.6123, 0.5000], [0.6123, 0.3877, 0.5000], [0.8877, 0.8877, 0.0000], [0.0000, 0.0000, 0.5000], [0.5000, 0.5000, 0.0000], [0.0621, 0.2857, 0.5000], [0.2143, 0.5621, 0.0000], [0.2857, 0.0621, 0.5000], [0.4379, 0.7857, 0.0000], [0.5621, 0.2143, 0.0000], [0.7143, 0.9379, 0.5000], [0.7857, 0.4379, 0.0000], [0.9379, 0.7143, 0.5000]], "final_energy_ev_per_atom": -4.13, "formation_energy_uncorrected_kj_per_mol_fu": -817}